# 1
Material: AlC
Method: DFT, PBE
State: optimized geometry

abc: 8.7543 3.3348 5.6741
angles: 90.00 90.00 90.00
Closest atoms and distances in Å follow each position.
Space group Pmn2_1 (No. 31)
Unique sites:
Al (0.0000, 0.0671, 0.0000) [2 per cell]  4 C 1.97-2.14
Al (0.2246, 0.6903, 0.7398) [4 per cell]  4 C 1.96-2.05
C (0.0000, 0.5353, 0.7874) [2 per cell]  4 Al 1.97-2.14
C (0.1946, 0.7955, 0.0903) [4 per cell]  4 Al 1.96-2.04

- DFT formation energy (eV per atom) = 0.77
- N(E_F) (states/eV per cell) = 5.2
- excess energy over the best structure of this formula in the dataset (eV/atom) = 0.5414
- mass density (g/cm³) = 2.3


# 2
Material: AlC3
Method: DFT, PBE
State: optimized geometry

abc: 2.7178 2.7178 16.7305
angles: 90.00 90.00 90.00
Closest atoms and distances in Å follow each position.
Space group I4/mmm (No. 139)
Unique sites:
Al (0.0000, 0.0000, 0.1492) [4 per cell]  8 C 2.17-2.23
C (0.0000, 0.0000, 0.4184) [4 per cell]  4 C 1.93
C (0.0000, 0.5000, 0.0000) [4 per cell]  8 C 1.92-1.93
C (0.0000, 0.5000, 0.2500) [4 per cell]  4 C 1.92

- DFT formation energy (eV per atom) = 2.21
- N(E_F) (states/eV per cell) = 6.0
- excess energy over the best structure of this formula in the dataset (eV/atom) = 1.4342
- mass density (g/cm³) = 3.4


# 3
Material: Al5C
Method: DFT, PBE
State: optimized geometry

abc: 4.8242 4.8242 4.3719
angles: 90.00 90.00 120.00
Closest atoms and distances in Å follow each position.
Space group P-62m (No. 189)
Unique sites:
Al (0.0000, 0.6834, 0.0000) [3 per cell]  10 Al 2.65-2.86, 2 C 2.67
Al (0.3333, 0.6667, 0.5000) [2 per cell]  9 Al 2.74-2.79, 3 C 2.79
C (0.0000, 0.0000, 0.5000) [1 per cell]  12 Al 2.67-2.79

- DFT formation energy (eV per atom) = 0.71
- N(E_F) (states/eV per cell) = 3.0
- excess energy over the best structure of this formula in the dataset (eV/atom) = 0.5066
- mass density (g/cm³) = 2.8